i | Computed, not measured: crystalline BaMn2Cr2 at its relaxed geometry at the GGA-PBE level of DFT.

Values from the calculation:
Total moment: 0.0 μB/f.u.

Cell and atoms, written as CIF:
```
data_BaMn2Cr2
_cell_length_a 7.587
_cell_length_b 7.587
_cell_length_c 2.836
_cell_angle_alpha 90.00
_cell_angle_beta 90.00
_cell_angle_gamma 90.00
_space_group_name_H-M_alt 'P 4/m b m'
_space_group_IT_number 127
_space_group_name_Hall '-P 4 2ab'
loop_
_atom_site_label
_atom_site_type_symbol
_atom_site_fract_x
_atom_site_fract_y
_atom_site_fract_z
_atom_site_occupancy
Ba1 Ba 0.000 0.000 0.000 1
Mn1 Mn 0.125 0.375 0.500 1
Cr1 Cr 0.126 0.626 0.000 1
```

=====

ii | Computed, not measured: crystalline BaMn2Cr2 at its relaxed geometry at the GGA-PBE level of DFT.

Values from the calculation:
Total moment: 0.0 μB/f.u.

Cell and atoms, written as CIF:
```
data_BaMn2Cr2
_cell_length_a 3.881
_cell_length_b 3.881
_cell_length_c 11.973
_cell_angle_alpha 90.00
_cell_angle_beta 90.00
_cell_angle_gamma 90.00
_space_group_name_H-M_alt 'I 4/m m m'
_space_group_IT_number 139
_space_group_name_Hall '-I 4 2'
loop_
_atom_site_label
_atom_site_type_symbol
_atom_site_fract_x
_atom_site_fract_y
_atom_site_fract_z
_atom_site_occupancy
Ba1 Ba 0.000 0.000 0.000 1
Mn1 Mn 0.000 0.500 0.250 1
Cr1 Cr 0.000 0.000 0.350 1
```

=====

Question: of the structures shown, which is the least stable? Reply: i.